1.
# TlS6Br2 (PBE, relaxed)
data_TlS6Br2
_cell_length_a 4.508
_cell_length_b 6.808
_cell_length_c 13.209
_cell_angle_alpha 130.18
_cell_angle_beta 82.79
_cell_angle_gamma 98.34
_space_group_name_H-M_alt 'P 1'
_space_group_IT_number 1
_space_group_name_Hall 'P 1'
loop_
_atom_site_label
_atom_site_fract_x
_atom_site_fract_y
_atom_site_fract_z
Tl1 0.500 0.000 0.500
S1 0.525 0.303 0.056
S2 0.653 0.340 0.822
S3 0.382 0.135 0.871
S4 0.475 0.697 0.944
S5 0.618 0.865 0.129
S6 0.347 0.660 0.178
Br1 0.132 0.317 0.506
Br2 0.868 0.683 0.494
# E_tot	-31.3	eV/cell
# raw formation energy	-0.097	eV per atom
# space-group type	P-1 (2)
# total moment	0.00	μB/f.u.

2.
# HfHg2W (PBE, relaxed)
data_HfHg2W
_cell_length_a 4.792
_cell_length_b 4.792
_cell_length_c 4.792
_cell_angle_alpha 60.00
_cell_angle_beta 60.00
_cell_angle_gamma 60.00
_space_group_name_H-M_alt 'P 1'
_space_group_IT_number 1
_space_group_name_Hall 'P 1'
loop_
_atom_site_label
_atom_site_fract_x
_atom_site_fract_y
_atom_site_fract_z
Hf1 0.000 0.000 0.000
Hg1 0.250 0.250 0.250
Hg2 0.750 0.750 0.750
W1 0.500 0.500 0.500
# E above lowest polymorph	0	meV/atom
# E_tot	-21.1	eV/cell
# space-group type	Fm-3m (225)
# total moment	0.00	μB/f.u.

3.
# As3PbC (PBE, relaxed)
data_As3PbC
_cell_length_a 5.487
_cell_length_b 5.487
_cell_length_c 5.487
_cell_angle_alpha 90.00
_cell_angle_beta 90.00
_cell_angle_gamma 90.00
_space_group_name_H-M_alt 'P 1'
_space_group_IT_number 1
_space_group_name_Hall 'P 1'
loop_
_atom_site_label
_atom_site_fract_x
_atom_site_fract_y
_atom_site_fract_z
Pb1 0.000 0.000 0.000
As1 0.000 0.500 0.000
As2 0.000 0.000 0.500
As3 0.500 0.000 0.000
C1 0.500 0.500 0.500
# E above lowest polymorph	1516	meV/atom
# E_tot	-14.5	eV/cell
# space-group type	Pm-3m (221)
# total moment	1.23	μB/f.u.